Crystalline Ac3CrCu2O9 at its relaxed geometry. Source: Alexandria via LeMat-Bulk, functional PBE+U.

a = 5.593 Å, b = 5.593 Å, c = 6.883 Å
α = 90.00°, β = 90.00°, γ = 120.00°
Positions (direct):
O1 0.000 0.500 0.000
O2 0.676 0.838 0.337
O3 0.838 0.676 0.663
O4 0.838 0.162 0.663
O5 0.162 0.324 0.337
O6 0.324 0.162 0.663
O7 0.500 0.000 0.000
O8 0.162 0.838 0.337
O9 0.500 0.500 0.000
Cr1 0.000 0.000 0.500
Ac1 0.000 0.000 0.000
Ac2 0.667 0.333 0.328
Ac3 0.333 0.667 0.672
Cu1 0.333 0.667 0.165
Cu2 0.667 0.333 0.835

Computed properties:
- Energy: -7.05 eV/atom
- Spin magnetization: 2.10 μB per cell